Crystalline Zn5Ag3 at its relaxed geometry. Source: Alexandria via LeMat-Bulk, functional PBE.

Cell lengths 7.700, 7.700, 5.186 Å; angles 90.00, 90.00, 120.01 degrees
Positions (direct):
Ag1 0.399 0.000 0.750
Zn1 0.667 0.333 0.000
Zn2 0.333 0.667 0.000
Ag2 0.000 0.601 0.250
Ag3 0.399 0.399 0.250
Zn3 0.000 0.785 0.750
Ag4 0.601 0.000 0.250
Zn4 0.785 0.785 0.250
Zn5 0.215 0.000 0.250
Zn6 0.333 0.667 0.500
Zn7 0.785 0.000 0.750
Zn8 0.667 0.333 0.500
Ag5 0.601 0.601 0.750
Zn9 0.215 0.215 0.750
Zn10 0.000 0.215 0.250
Ag6 0.000 0.399 0.750

Properties
E_form = 0.0449 eV/atom
N(E_F) = 0.25 states/eV per atom
total magnetic moment = 0.0 Bohr magnetons per cell
offset from the most stable computed form = 55 meV per atom